(1)
The following is a GGA-PBE calculation of a relaxed TlV2Cu crystal, from the Alexandria database.

VASP energy (eV per atom): -5.400
Energy of formation (eV/atom): 0.775
Space group: I-42d (122)
Magnetization (μB/f.u.): 0.00

a = 7.154 Å, b = 7.154 Å, c = 5.693 Å
α = 51.08°, β = 51.08°, γ = 90.00°
Fractional coordinates of all 8 atoms:
V1 0.875 0.849 0.750
Cu1 0.500 0.500 0.000
V2 0.375 0.401 0.750
Cu2 0.250 0.750 0.500
Tl1 0.000 0.000 0.000
V3 0.151 0.625 0.250
Tl2 0.750 0.250 0.500
V4 0.599 0.125 0.250


(2)
The following is a GGA-PBE calculation of a relaxed TlCu4W crystal, from the Alexandria database.

VASP energy (eV per atom): -4.742
Energy of formation (eV/atom): 0.542
Space group: F-43m (216)
Magnetization (μB/f.u.): 2.28

a = 4.969 Å, b = 4.969 Å, c = 4.969 Å
α = 60.00°, β = 60.00°, γ = 60.00°
Site moments in Bohr magnetons follow the coordinates.
Fractional coordinates of all 6 atoms:
Cu1 0.374 0.374 0.374  0.08
Tl1 0.750 0.750 0.750  0.00
Cu2 0.878 0.374 0.374  0.08
W1 0.000 0.000 0.000  1.58
Cu3 0.374 0.878 0.374  0.08
Cu4 0.374 0.374 0.878  0.08


Q: Which formula does entry 2 have?
A: TlCu4W